Entry 1:
First-principles (PBE) data for a geometry-optimized PaCo3C structure, as listed in Alexandria.

```
10
Lattice="5.351 0.000 0.000 0.000 5.196 0.000 0.000 -2.598 4.500" Properties=species:S:1:pos:R:3 pbc="T T T"
Pa 4.014 2.598 1.500
Pa 1.338 0.000 3.000
Co 4.014 1.324 3.764
Co 1.338 2.598 3.029
Co 1.338 1.274 0.735
Co 4.013 0.000 1.471
Co 1.338 3.922 0.736
Co 4.014 -1.324 3.764
C 0.000 0.000 0.000
C 2.676 0.000 0.000
```

ΔE to the lowest computed polymorph = 71 meV per atom
E_tot = -8.081 eV/atom
D(E_F) = 0.66 states/eV/atom
Energy of formation = -0.37 eV/f.u.
Mass density = 11.14 g cm⁻³

---

Entry 2:
First-principles (PBE) data for a geometry-optimized PaCo2C structure, as listed in Alexandria.

```
4
Lattice="3.092 0.000 0.000 1.546 2.678 0.000 1.546 0.893 6.514" Properties=species:S:1:pos:R:3 pbc="T T T"
C 3.092 1.785 3.257
Pa 0.000 0.000 0.000
Co 1.546 0.893 4.105
Co 4.639 2.678 2.409
```

ΔE to the lowest computed polymorph = 462 meV per atom
E_tot = -7.928 eV/atom
D(E_F) = 0.97 states/eV/atom
Energy of formation = 1.22 eV/f.u.
Mass density = 11.11 g cm⁻³

---

Entry 3:
First-principles (PBE) data for a geometry-optimized PaCo3C structure, as listed in Alexandria.

```
5
Lattice="-3.228 -1.441 1.774 2.238 -2.615 1.949 0.463 2.594 2.949" Properties=species:S:1:pos:R:3 pbc="T T T"
C 0.000 0.000 0.000
Pa -0.264 -0.731 3.336
Co 1.119 -1.307 0.974
Co 0.231 1.297 1.475
Co -1.614 -0.720 0.887
```

ΔE to the lowest computed polymorph = 28 meV per atom
E_tot = -8.124 eV/atom
D(E_F) = 0.51 states/eV/atom
Energy of formation = -0.58 eV/f.u.
Mass density = 11.27 g cm⁻³

---

Entry 4:
First-principles (PBE) data for a geometry-optimized PaCo3C2 structure, as listed in Alexandria.

```
12
Lattice="-1.853 -1.686 2.463 2.711 -4.703 -3.685 3.928 2.644 4.765" Properties=species:S:1:pos:R:3 pbc="T T T"
Pa 4.055 -2.306 3.978
Pa 0.731 -1.439 -0.435
Co 3.415 -1.859 1.297
Co 3.082 -4.138 1.992
Co 2.129 -0.211 3.963
Co 2.657 -3.534 -0.420
Co 1.705 0.392 1.551
Co 1.371 -1.886 2.246
C 4.687 -3.252 1.300
C 0.100 -0.494 2.243
C 1.259 -3.507 1.052
C 3.527 -0.238 2.491
```

E_tot = -8.287 eV/atom
D(E_F) = 0.75 states/eV/atom
Energy of formation = -0.46 eV/f.u.
Mass density = 10.80 g cm⁻³

---

Entry 5:
First-principles (PBE) data for a geometry-optimized PaCoC structure, as listed in Alexandria.

```
3
Lattice="3.507 0.000 0.000 0.000 3.643 0.000 0.000 -1.821 3.155" Properties=species:S:1:pos:R:3 pbc="T T T"
C 0.433 0.000 0.000
Pa 2.377 1.821 1.052
Co 0.697 0.000 2.103
```

ΔE to the lowest computed polymorph = 76 meV per atom
E_tot = -8.882 eV/atom
D(E_F) = 0.77 states/eV/atom
Energy of formation = -0.82 eV/f.u.
Mass density = 12.44 g cm⁻³

---

Entry 6:
First-principles (PBE) data for a geometry-optimized Pa2Co6C structure, as listed in Alexandria.

```
9
Lattice="4.733 0.000 2.733 1.578 4.462 2.733 0.000 0.000 5.465" Properties=species:S:1:pos:R:3 pbc="T T T"
Pa 1.578 1.116 2.733
Pa 4.733 3.347 8.198
Co 2.370 3.342 6.826
Co 2.370 3.342 4.105
Co 3.941 1.120 6.826
Co 3.941 1.120 4.105
Co 4.726 3.342 5.465
Co 1.585 1.120 5.465
C 0.000 0.000 0.000
```

E_tot = -8.216 eV/atom
D(E_F) = 0.31 states/eV/atom
Energy of formation = -3.09 eV/f.u.
Mass density = 11.91 g cm⁻³

---

What did the fourth record say?
First-principles (PBE) data for a geometry-optimized PaCo3C2 structure, as listed in Alexandria.

```
12
Lattice="-1.853 -1.686 2.463 2.711 -4.703 -3.685 3.928 2.644 4.765" Properties=species:S:1:pos:R:3 pbc="T T T"
Pa 4.055 -2.306 3.978
Pa 0.731 -1.439 -0.435
Co 3.415 -1.859 1.297
Co 3.082 -4.138 1.992
Co 2.129 -0.211 3.963
Co 2.657 -3.534 -0.420
Co 1.705 0.392 1.551
Co 1.371 -1.886 2.246
C 4.687 -3.252 1.300
C 0.100 -0.494 2.243
C 1.259 -3.507 1.052
C 3.527 -0.238 2.491
```

E_tot = -8.287 eV/atom
D(E_F) = 0.75 states/eV/atom
Energy of formation = -0.46 eV/f.u.
Mass density = 10.80 g cm⁻³

---

> Among the records above, which one has the lowest mass density?

PaCo3C2

---

> What is the D(E_F) in the sixth record?

0.31 states/eV/atom